VASP calculation (PBE-GGA) on an optimized crystal structure of NaNiP.

abc: 2.9016 5.4962 6.1544
angles: 90.00 103.63 90.00
With the nearest neighbours (Å) after each atom.
Atoms (fractional coordinates):
Na  0.1876  0.2500  0.3744  2 Na 2.90, 4 P 2.96-2.98, 4 Ni 3.00
Na  0.8124  0.7500  0.6256  2 Na 2.90, 4 P 2.96-2.98, 4 Ni 3.00
Ni  0.5000  0.0000  0.0000  4 P 2.30
Ni  0.5000  0.5000  0.0000  4 P 2.30
P  0.0947  0.7500  0.1897  4 Ni 2.30
P  0.9053  0.2500  0.8103  4 Ni 2.30

Summary:
Raw total energy (eV/atom): -4.55
Energy of formation (meV/atom): -377
SG: P2_1/m (11)


VASP calculation (PBE-GGA) on an optimized crystal structure of CoReOs2.

abc: 4.6430 4.6430 4.6344
angles: 99.39 99.39 33.80
With the nearest neighbours (Å) after each atom.
Atoms (fractional coordinates):
Co  0.0000  0.0000  0.0000  3 Re 2.65-2.66, 7 Os 2.67-2.70, 2 Co 2.70
Re  0.7492  0.7492  0.2373  7 Os 2.64-2.72, 3 Co 2.65-2.66, 2 Re 2.70
Os  0.2489  0.2489  0.7464  4 Re 2.64-2.72, 5 Os 2.67-2.70, 3 Co 2.68-2.70
Os  0.5007  0.5007  0.5041  5 Os 2.67-2.70, 4 Co 2.67-2.70, 3 Re 2.71-2.72

Summary:
Raw total energy (eV/atom): -10.37
Energy of formation (meV/atom): 136
SG: Cm (8)
Energy above the most stable polymorph in this dataset (meV/atom): 46


VASP calculation (PBE-GGA) on an optimized crystal structure of Th3MnAg.

abc: 8.6161 6.2124 10.7216
angles: 90.00 114.70 90.00
With the nearest neighbours (Å) after each atom.
Atoms (fractional coordinates):
Th  0.1355  0.0006  0.3070  2 Mn 2.97, 2 Ag 3.27
Th  0.1355  0.4994  0.8070  2 Mn 2.97, 2 Ag 3.27
Th  0.2088  0.5006  0.5121  2 Mn 2.68-2.69
Th  0.2088  0.9994  0.0121  2 Mn 2.68-2.69
Th  0.3352  0.0003  0.7026  2 Mn 2.99
Th  0.3352  0.4997  0.2026  2 Mn 2.99
Th  0.6648  0.9997  0.2974  2 Mn 2.99
Th  0.6648  0.5003  0.7974  2 Mn 2.99
Th  0.7912  0.0006  0.9879  2 Mn 2.68-2.69
Th  0.7912  0.4994  0.4879  2 Mn 2.68-2.69
Th  0.8645  0.5006  0.1930  2 Mn 2.97, 2 Ag 3.27
Th  0.8645  0.9994  0.6930  2 Mn 2.97, 2 Ag 3.27
Mn  0.9998  0.1720  0.5002  1 Mn 2.14
Mn  0.9998  0.3280  0.0002  1 Mn 2.14
Mn  0.0002  0.6720  0.9998  1 Mn 2.14
Mn  0.0002  0.8280  0.4998  1 Mn 2.14
Ag  0.4999  0.2270  0.5002  1 Ag 2.82, 2 Th 3.08
Ag  0.4999  0.2730  0.0002  1 Ag 2.82, 2 Th 3.08
Ag  0.5001  0.7270  0.9998  1 Ag 2.82, 2 Th 3.08
Ag  0.5001  0.7730  0.4998  1 Ag 2.82, 2 Th 3.08

Summary:
Raw total energy (eV/atom): -6.85
Energy of formation (meV/atom): 8
SG: P2_1/c (14)
Energy above the most stable polymorph in this dataset (meV/atom): 0


VASP calculation (PBE-GGA) on an optimized crystal structure of SmY3Tm5.

abc: 9.5328 9.5328 11.2934
angles: 110.09 110.09 38.42
With the nearest neighbours (Å) after each atom.
Atoms (fractional coordinates):
Sm  0.1322  0.8678  0.7500  2 Y 2.94, 1 Tm 2.97
Sm  0.8678  0.1322  0.2500  2 Y 2.94, 1 Tm 2.97
Y  0.0000  0.0000  0.0000  2 Sm 2.94
Y  0.0000  0.0000  0.5000  2 Sm 2.94
Y  0.1553  0.5256  0.4865  6 Tm 3.33-3.65, 2 Y 3.44-3.48, 1 Sm 3.49
Y  0.4744  0.8447  0.0135  6 Tm 3.33-3.65, 2 Y 3.44-3.48, 1 Sm 3.49
Y  0.5256  0.1553  0.9865  6 Tm 3.33-3.65, 2 Y 3.44-3.48, 1 Sm 3.49
Y  0.8447  0.4744  0.5135  6 Tm 3.33-3.65, 2 Y 3.44-3.48, 1 Sm 3.49
Tm  0.0070  0.6526  0.1250  4 Tm 3.18-3.43, 1 Sm 3.46, 1 Y 3.50
Tm  0.1145  0.5435  0.7869  4 Y 3.33-3.62, 2 Tm 3.36-3.43, 1 Sm 3.39
Tm  0.3474  0.9930  0.3750  4 Tm 3.18-3.43, 1 Sm 3.46, 1 Y 3.50
Tm  0.3940  0.6060  0.2500  2 Sm 2.97-3.30, 2 Tm 3.18
Tm  0.4565  0.8855  0.7131  4 Y 3.33-3.62, 2 Tm 3.36-3.43, 1 Sm 3.39
Tm  0.5435  0.1145  0.2869  4 Y 3.33-3.62, 2 Tm 3.36-3.43, 1 Sm 3.39
Tm  0.6060  0.3940  0.7500  2 Sm 2.97-3.30, 2 Tm 3.18
Tm  0.6526  0.0070  0.6250  4 Tm 3.18-3.43, 1 Sm 3.46, 1 Y 3.50
Tm  0.8855  0.4565  0.2131  4 Y 3.33-3.62, 2 Tm 3.36-3.43, 1 Sm 3.39
Tm  0.9930  0.3474  0.8750  4 Tm 3.18-3.43, 1 Sm 3.46, 1 Y 3.50

Summary:
Raw total energy (eV/atom): -4.85
Energy of formation (meV/atom): 314
SG: C2/c (15)
Energy above the most stable polymorph in this dataset (meV/atom): 0


VASP calculation (PBE-GGA) on an optimized crystal structure of KPuAg2Cl8.

abc: 7.8645 7.8645 7.8645
angles: 107.56 107.56 113.36
With the nearest neighbours (Å) after each atom.
Atoms (fractional coordinates):
K  0.0000  0.0000  0.0000  8 Cl 3.08-3.39
Pu  0.7500  0.2500  0.5000  8 Cl 2.70-2.84
Ag  0.2500  0.7500  0.5000  4 Cl 2.51
Ag  0.5000  0.5000  0.0000  4 Cl 2.56
Cl  0.0241  0.3548  0.3306  1 Ag 2.51
Cl  0.0241  0.6935  0.6694  1 Ag 2.51
Cl  0.0995  0.3156  0.7839  1 Ag 2.56, 1 Pu 2.70
Cl  0.3065  0.9759  0.3306  1 Ag 2.51
Cl  0.5317  0.3156  0.2161  1 Ag 2.56, 1 Pu 2.70
Cl  0.6452  0.9759  0.6694  1 Ag 2.51
Cl  0.6844  0.4683  0.7839  1 Ag 2.56, 1 Pu 2.70
Cl  0.6844  0.9005  0.2161  1 Ag 2.56, 1 Pu 2.70

Summary:
Raw total energy (eV/atom): -4.09
SG: I-4m2 (119)
Formation energy from raw total energies (kJ/mol of atoms): -106.3


VASP calculation (PBE-GGA) on an optimized crystal structure of CsCrGe2Cl8.

abc: 6.7669 6.7686 9.0461
angles: 89.94 89.95 60.03
With the nearest neighbours (Å) after each atom.
Atoms (fractional coordinates):
Cs  0.0000  0.0000  0.0000  12 Cl 3.69-4.01
Cr  0.0000  0.0000  0.5000  6 Cl 2.36
Ge  0.3336  0.3327  0.6479  1 Cl 2.29
Ge  0.6664  0.6673  0.3521  1 Cl 2.29
Cl  0.0513  0.6937  0.3482  1 Cr 2.36
Cl  0.2552  0.0517  0.3483  1 Cr 2.36
Cl  0.3063  0.7446  0.6517  1 Cr 2.36
Cl  0.3333  0.3325  0.9014  1 Ge 2.29
Cl  0.6667  0.6675  0.0986  1 Ge 2.29
Cl  0.6937  0.2554  0.3483  1 Cr 2.36
Cl  0.7448  0.9483  0.6517  1 Cr 2.36
Cl  0.9487  0.3063  0.6518  1 Cr 2.36

Summary:
Raw total energy (eV/atom): -3.98
SG: P-1 (2)
Formation energy from raw total energies (kJ/mol of atoms): -107.2